VASP calculation (GGA-PBE) on a geometry-optimized AcMgTiPt2 structure.

Results
The energy of formation from the pure elements is -0.851 eV per atom. The density of states at the Fermi level is 6.2 states/eV/f.u. The value obtained for the total energy is -29.9 eV for the cell shown. As for the crystal system: tetragonal.

Cell: 4.284 4.284 6.688 Å, 108.68 108.68 90.00°
Positions (direct):
Ac 0.000 0.000 0.000
Mg 0.750 0.250 0.500
Ti 0.250 0.750 0.500
Pt 0.618 0.618 0.236
Pt 0.382 0.382 0.764

VASP calculation (GGA-PBE) on a geometry-optimized La2ThHg6 structure.

Results
The energy of formation from the pure elements is -0.412 eV per atom. The density of states at the Fermi level is 5.4 states/eV/f.u. The value obtained for the total energy is -22.8 eV for the cell shown. As for the crystal system: hexagonal.

Cell: 3.467 8.852 8.852 Å, 120.00 90.00 90.00°
Positions (direct):
La 0.000 0.333 0.667
La 0.000 0.667 0.333
Th 0.000 0.000 0.000
Hg 0.500 0.333 0.333
Hg 0.500 0.667 0.667
Hg 0.500 0.000 0.667
Hg 0.500 0.667 0.000
Hg 0.500 0.333 0.000
Hg 0.500 0.000 0.333

VASP calculation (GGA-PBE) on a geometry-optimized TaTe2Pt structure.

Results
The value obtained for the energy relative to the elements, uncorrected is 376 meV per atom. The density of states at the Fermi level is 2.8 states/eV/f.u. The value obtained for the total energy is -22.7 eV for the cell shown. As for the crystal system: monoclinic.

Cell: 5.249 5.508 3.592 Å, 73.48 84.97 116.61°
Positions (direct):
Pt 0.000 0.500 0.500
Ta 0.500 0.500 0.000
Te 0.000 0.000 0.000
Te 0.500 0.000 0.500

VASP calculation (GGA-PBE) on a geometry-optimized Pm2Ho6Er3In structure.

Results
The energy of formation from the pure elements is -0.053 eV per atom. The density of states at the Fermi level is 15.5 states/eV/f.u. The value obtained for the total energy is -54.0 eV for the cell shown. As for the crystal system: monoclinic.

Cell: 6.061 6.061 11.655 Å, 94.98 94.98 120.02°
Positions (direct):
Pm 0.334 0.666 0.000
Pm 0.666 0.334 0.000
Ho 0.917 0.589 0.750
Ho 0.756 0.756 0.251
Ho 0.083 0.411 0.250
Ho 0.589 0.917 0.750
Ho 0.244 0.244 0.749
Ho 0.411 0.083 0.250
Er 0.167 0.833 0.500
Er 0.833 0.167 0.500
Er 0.500 0.500 0.500
In 0.000 0.000 0.000

VASP calculation (GGA-PBE) on a geometry-optimized YNiAgSn structure.

Results
The energy of formation from the pure elements is -0.374 eV per atom. The density of states at the Fermi level is 2.5 states/eV/f.u. The value obtained for the total energy is -20.6 eV for the cell shown. As for the crystal system: cubic.

Cell: 4.789 4.789 4.789 Å, 60.00 60.00 60.00°
Positions (direct):
Y 0.000 0.000 0.000
Ni 0.250 0.250 0.250
Sn 0.500 0.500 0.500
Ag 0.750 0.750 0.750

VASP calculation (GGA-PBE) on a geometry-optimized ErZrCoPd structure.

Results
The energy of formation from the pure elements is -0.440 eV per atom. The density of states at the Fermi level is 2.9 states/eV/f.u. The value obtained for the total energy is -27.2 eV for the cell shown. As for the crystal system: cubic.

Cell: 4.723 4.723 4.723 Å, 60.00 60.00 60.00°
Positions (direct):
Co 0.500 0.500 0.500
Zr 0.750 0.750 0.750
Pd 0.000 0.000 0.000
Er 0.250 0.250 0.250

VASP calculation (GGA-PBE) on a geometry-optimized Ho5MgGa3 structure.

Results
The energy of formation from the pure elements is -0.428 eV per atom. The density of states at the Fermi level is 6.9 states/eV/f.u. The value obtained for the total energy is -74.8 eV for the cell shown. As for the crystal system: hexagonal.

Cell: 6.424 8.867 8.867 Å, 120.00 90.00 90.00°
Positions (direct):
Ho 0.000 0.667 0.333
Ho 0.500 0.333 0.667
Ho 0.000 0.333 0.667
Ho 0.500 0.667 0.333
Ho 0.750 0.691 0.691
Ho 0.750 0.000 0.309
Ho 0.750 0.309 0.000
Ho 0.250 0.309 0.309
Ho 0.250 0.000 0.691
Ho 0.250 0.691 0.000
Mg 0.000 0.000 0.000
Mg 0.500 0.000 0.000
Ga 0.750 0.356 0.356
Ga 0.750 0.000 0.644
Ga 0.750 0.644 0.000
Ga 0.250 0.644 0.644
Ga 0.250 0.000 0.356
Ga 0.250 0.356 0.000

VASP calculation (GGA-PBE) on a geometry-optimized SrCdGa2Ag5 structure.

Results
The energy of formation from the pure elements is -0.026 eV per atom. The density of states at the Fermi level is 2.7 states/eV/f.u. The value obtained for the total energy is -23.1 eV for the cell shown. As for the crystal system: tetragonal.

Cell: 5.114 5.114 7.573 Å, 90.00 90.00 90.00°
Positions (direct):
Sr 0.000 0.000 0.500
Cd 0.000 0.000 0.000
Ga 0.500 0.500 0.160
Ga 0.500 0.500 0.840
Ag 0.000 0.500 0.227
Ag 0.500 0.000 0.227
Ag 0.000 0.500 0.773
Ag 0.500 0.000 0.773
Ag 0.500 0.500 0.500

VASP calculation (GGA-PBE) on a geometry-optimized PmPrGaPb structure.

Results
The energy of formation from the pure elements is -0.469 eV per atom. The density of states at the Fermi level is 2.1 states/eV/f.u. The value obtained for the total energy is -18.1 eV for the cell shown. As for the crystal system: cubic.

Cell: 5.426 5.426 5.426 Å, 60.00 60.00 60.00°
Positions (direct):
Pb 0.750 0.750 0.750
Pr 0.500 0.500 0.500
Ga 0.250 0.250 0.250
Pm 0.000 0.000 0.000

VASP calculation (GGA-PBE) on a geometry-optimized Tl3BiI structure.

Results
The value obtained for the energy relative to the lowest polymorph listed for this composition is 0 meV per atom. The value obtained for the energy relative to the elements, uncorrected is 47 meV per atom. The density of states at the Fermi level is 4.0 states/eV/f.u. The value obtained for the total energy is -12.3 eV for the cell shown. As for the crystal system: cubic.

Cell: 6.298 6.298 6.298 Å, 90.00 90.00 90.00°
Positions (direct):
I 0.500 0.500 0.500
Tl 0.000 0.500 0.000
Tl 0.000 0.000 0.500
Tl 0.500 0.000 0.000
Bi 0.000 0.000 0.000

VASP calculation (GGA-PBE) on a geometry-optimized ReTcBr2 structure.

Results
The value obtained for the energy relative to the lowest polymorph listed for this composition is 492 meV per atom. The value obtained for the energy relative to the elements, uncorrected is 689 meV per atom. The density of states at the Fermi level is 1.7 states/eV/f.u. The value obtained for the total energy is -23.4 eV for the cell shown. As for the crystal system: monoclinic.

Cell: 5.217 5.217 7.019 Å, 69.06 69.06 36.44°
Positions (direct):
Re 0.543 0.543 0.375
Tc 0.208 0.208 0.375
Br 0.946 0.946 0.107
Br 0.804 0.804 0.643

VASP calculation (GGA-PBE) on a geometry-optimized Zn2CuN structure.

Results
The value obtained for the energy relative to the elements, uncorrected is 400 meV per atom. The density of states at the Fermi level is 0.1 states/eV/f.u. The value obtained for the total energy is -26.7 eV for the cell shown. As for the crystal system: tetragonal.

Cell: 5.380 5.380 5.856 Å, 62.65 62.65 90.00°
Positions (direct):
Zn 0.526 0.125 0.250
Zn 0.224 0.625 0.250
Zn 0.375 0.474 0.750
Zn 0.875 0.776 0.750
Cu 0.000 0.000 0.000
Cu 0.750 0.250 0.500
N 0.500 0.500 0.000
N 0.250 0.750 0.500

VASP calculation (GGA-PBE) on a geometry-optimized HfGeO2 structure.

Results
The value obtained for the energy relative to the elements, uncorrected is -2208 meV per atom. The density of states at the Fermi level is 1.2 states/eV/f.u. The value obtained for the total energy is -33.3 eV for the cell shown. As for the crystal system: trigonal.

Cell: 9.487 9.487 9.487 Å, 19.29 19.29 19.29°
Positions (direct):
Ge 0.000 0.000 0.000
Hf 0.500 0.500 0.500
O 0.869 0.869 0.869
O 0.131 0.131 0.131

VASP calculation (GGA-PBE) on a geometry-optimized SrPr2Zn9 structure.

Results
The energy of formation from the pure elements is -0.250 eV per atom. The density of states at the Fermi level is 8.7 states/eV/f.u. The value obtained for the total energy is -25.7 eV for the cell shown. As for the crystal system: trigonal.

Cell: 5.650 5.650 9.319 Å, 72.35 72.35 60.00°
Positions (direct):
Sr 0.000 0.000 0.000
Pr 0.859 0.859 0.424
Pr 0.141 0.141 0.576
Zn 0.665 0.665 0.005
Zn 0.335 0.335 0.995
Zn 0.500 0.500 0.500
Zn 0.416 0.416 0.246
Zn 0.922 0.416 0.246
Zn 0.416 0.922 0.246
Zn 0.584 0.584 0.754
Zn 0.584 0.078 0.754
Zn 0.078 0.584 0.754

VASP calculation (GGA-PBE) on a geometry-optimized NpBeRhO6 structure.

Results
The value obtained for the energy relative to the elements, uncorrected is -1832 meV per atom. The density of states at the Fermi level is 0.3 states/eV/f.u. The value obtained for the total energy is -140.5 eV for the cell shown. As for the crystal system: trigonal.

Cell: 5.023 5.023 8.726 Å, 90.00 90.00 120.00°
Positions (direct):
Np 0.333 0.667 0.250
Np 0.667 0.333 0.750
Be 0.667 0.333 0.250
Be 0.333 0.667 0.750
Rh 0.000 0.000 0.000
Rh 0.000 0.000 0.500
O 0.674 0.650 0.132
O 0.976 0.326 0.132
O 0.326 0.976 0.632
O 0.024 0.674 0.868
O 0.350 0.326 0.368
O 0.976 0.650 0.368
O 0.650 0.976 0.868
O 0.674 0.024 0.368
O 0.024 0.350 0.632
O 0.350 0.024 0.132
O 0.650 0.674 0.632
O 0.326 0.350 0.868

VASP calculation (GGA-PBE) on a geometry-optimized NaCo2Pd2 structure.

Results
The value obtained for the energy relative to the lowest polymorph listed for this composition is 183 meV per atom. The energy of formation from the pure elements is 0.302 eV per atom. The density of states at the Fermi level is 5.7 states/eV/f.u. The value obtained for the total energy is -24.4 eV for the cell shown. As for the crystal system: tetragonal.

Cell: 3.455 3.455 7.094 Å, 75.90 75.90 90.00°
Positions (direct):
Na 0.000 0.000 0.000
Co 0.750 0.250 0.500
Co 0.250 0.750 0.500
Pd 0.392 0.392 0.216
Pd 0.608 0.608 0.784

VASP calculation (GGA-PBE) on a geometry-optimized Cr2Rh5 structure.

Results
The energy of formation from the pure elements is -0.091 eV per atom. The density of states at the Fermi level is 7.7 states/eV/f.u. The value obtained for the total energy is -113.3 eV for the cell shown. As for the crystal system: monoclinic.

Cell: 4.664 6.347 6.876 Å, 94.78 90.00 111.56°
Positions (direct):
Cr 0.734 0.145 0.602
Cr 0.588 0.855 0.898
Cr 0.266 0.855 0.398
Cr 0.412 0.145 0.102
Rh 0.692 0.735 0.542
Rh 0.957 0.265 0.958
Rh 0.876 0.429 0.320
Rh 0.447 0.571 0.180
Rh 0.124 0.571 0.680
Rh 0.553 0.429 0.820
Rh 0.043 0.735 0.042
Rh 0.308 0.265 0.458
Rh 0.187 0.000 0.750
Rh 0.813 0.000 0.250

VASP calculation (GGA-PBE) on a geometry-optimized Ir3Cl structure.

Results
The value obtained for the energy relative to the lowest polymorph listed for this composition is 19 meV per atom. The value obtained for the energy relative to the elements, uncorrected is 488 meV per atom. The density of states at the Fermi level is 4.1 states/eV/f.u. The value obtained for the total energy is -26.5 eV for the cell shown. As for the crystal system: orthorhombic.

Cell: 3.588 2.811 6.553 Å, 90.00 90.00 90.00°
Positions (direct):
Ir 0.500 0.000 0.706
Ir 0.000 0.500 0.500
Ir 0.500 0.000 0.294
Cl 0.000 0.000 0.000

VASP calculation (GGA-PBE) on a geometry-optimized YMo structure.

Results
The value obtained for the energy relative to the lowest polymorph listed for this composition is 394 meV per atom. The energy of formation from the pure elements is 0.529 eV per atom. The density of states at the Fermi level is 2.6 states/eV/f.u. The value obtained for the total energy is -48.7 eV for the cell shown. As for the crystal system: trigonal.

Cell: 3.328 3.328 14.483 Å, 90.00 90.00 120.00°
Positions (direct):
Y 0.000 0.000 0.634
Y 0.667 0.333 0.178
Y 0.667 0.333 0.857
Mo 0.000 0.000 0.014
Mo 0.000 0.000 0.351
Mo 0.667 0.333 0.466

VASP calculation (GGA-PBE) on a geometry-optimized Ta2NiPb structure.

Results
The energy of formation from the pure elements is 0.388 eV per atom. The density of states at the Fermi level is 3.4 states/eV/f.u. The value obtained for the total energy is -31.6 eV for the cell shown. As for the crystal system: tetragonal.

Cell: 5.220 5.220 5.220 Å, 134.39 134.39 66.48°
Positions (direct):
Ni 0.500 0.500 0.000
Pb 0.750 0.250 0.500
Ta 0.000 0.000 0.000
Ta 0.250 0.750 0.500

VASP calculation (GGA-PBE) on a geometry-optimized TcOs3Ru structure.

Results
The value obtained for the energy relative to the lowest polymorph listed for this composition is 2549 meV per atom. The energy of formation from the pure elements is 2.504 eV per atom. The density of states at the Fermi level is 9.4 states/eV/f.u. The value obtained for the total energy is -40.8 eV for the cell shown. As for the crystal system: cubic.

Cell: 4.609 4.609 4.609 Å, 90.00 90.00 90.00°
Positions (direct):
Ru 0.500 0.500 0.500
Os 0.000 0.500 0.000
Os 0.000 0.000 0.500
Os 0.500 0.000 0.000
Tc 0.000 0.000 0.000

VASP calculation (GGA-PBE) on a geometry-optimized BaBeOs2 structure.

Results
The energy of formation from the pure elements is 0.731 eV per atom. The density of states at the Fermi level is 3.9 states/eV/f.u. The value obtained for the total energy is -50.4 eV for the cell shown. As for the crystal system: tetragonal.

Cell: 4.759 4.759 8.902 Å, 74.50 74.50 90.00°
Positions (direct):
Be 0.500 0.500 0.000
Be 0.250 0.750 0.500
Os 0.329 0.125 0.250
Os 0.421 0.625 0.250
Os 0.375 0.671 0.750
Os 0.875 0.579 0.750
Ba 0.000 0.000 0.000
Ba 0.750 0.250 0.500

VASP calculation (GGA-PBE) on a geometry-optimized Na2LiMgH5 structure.

Results
The density of states at the Fermi level is 0.0 states/eV/f.u. The value obtained for the total energy is -49.6 eV for the cell shown. As for the crystal system: orthorhombic.

Cell: 3.230 6.489 10.119 Å, 90.00 90.00 104.41°
Positions (direct):
Na 0.852 0.704 0.789
Na 0.110 0.221 0.682
Na 0.148 0.296 0.289
Na 0.890 0.779 0.182
Li 0.774 0.548 0.519
Li 0.226 0.452 0.019
Mg 0.540 0.079 0.959
Mg 0.460 0.921 0.459
H 0.385 0.770 0.005
H 0.689 0.378 0.897
H 0.498 0.995 0.780
H 0.283 0.565 0.649
H 0.938 0.877 0.544
H 0.615 0.230 0.505
H 0.311 0.622 0.397
H 0.502 0.005 0.280
H 0.717 0.435 0.149
H 0.062 0.123 0.044

VASP calculation (GGA-PBE) on a geometry-optimized La2SbSe2 structure.

Results
The value obtained for the energy relative to the lowest polymorph listed for this composition is 210 meV per atom. The value obtained for the energy relative to the elements, uncorrected is -1286 meV per atom. The density of states at the Fermi level is 2.4 states/eV/f.u. The value obtained for the total energy is -27.4 eV for the cell shown. As for the crystal system: tetragonal.

Cell: 4.406 4.406 8.333 Å, 74.67 74.67 90.00°
Positions (direct):
Sb 0.000 0.000 0.000
Se 0.750 0.250 0.500
Se 0.250 0.750 0.500
La 0.381 0.381 0.237
La 0.619 0.619 0.763

VASP calculation (GGA-PBE) on a geometry-optimized AlHF structure.

Results
The value obtained for the energy relative to the lowest polymorph listed for this composition is 305 meV per atom. The density of states at the Fermi level is 0.6 states/eV/f.u. The value obtained for the total energy is -24.6 eV for the cell shown. As for the crystal system: monoclinic.

Cell: 3.084 3.675 6.215 Å, 90.00 91.31 90.00°
Positions (direct):
H 0.912 0.250 0.386
H 0.088 0.750 0.614
Al 0.235 0.250 0.649
Al 0.765 0.750 0.351
F 0.739 0.250 0.828
F 0.261 0.750 0.172